(a)
The following is a PBE calculation of a geometry-optimized AcCd2Hg2 structure, from Alexandria via LeMat-Bulk.

Cell lengths 5.0474, 6.5250, 9.2011 Å; angles 79.43, 73.99, 66.97 degrees
Closest atoms and distances in Å follow each position.
Fractional positions:
Ac: 0.6762 0.8570 0.2896  7 Hg 3.39-3.79, 4 Cd 3.49-3.75
Ac: 0.3238 0.1430 0.7104  7 Hg 3.39-3.79, 4 Cd 3.49-3.75
Cd: 0.3779 0.4351 0.3120  4 Hg 2.99-3.01, 2 Cd 3.17-3.20
Cd: 0.9640 0.6937 0.8821  3 Hg 2.92-2.97, 3 Cd 2.99-3.20
Cd: 0.0360 0.3063 0.1179  3 Hg 2.92-2.97, 3 Cd 2.99-3.20
Cd: 0.6221 0.5649 0.6880  4 Hg 2.99-3.01, 2 Cd 3.17-3.20
Hg: 0.3394 0.7800 0.0436  4 Cd 2.97-3.28
Hg: 0.9078 0.2408 0.4483  4 Cd 2.92-3.00, 1 Hg 2.96
Hg: 0.6606 0.2200 0.9564  4 Cd 2.97-3.28
Hg: 0.0922 0.7592 0.5517  4 Cd 2.92-3.00, 1 Hg 2.96

Properties
V (Å³/f.u.): 133.5
Total magnetization (Bohr magnetons per cell): 0.00


(b)
The following is a PBE calculation of a geometry-optimized AcCd2Hg2 structure, from Alexandria via LeMat-Bulk.

Cell lengths 4.5748, 4.5748, 7.3033 Å; angles 108.25, 108.25, 90.00 degrees
Closest atoms and distances in Å follow each position.
Fractional positions:
Ac: 0.0000 0.0000 0.0000  8 Hg 3.54
Cd: 0.7500 0.2500 0.5000  4 Hg 2.93, 4 Cd 3.23
Cd: 0.2500 0.7500 0.5000  4 Hg 2.93, 4 Cd 3.23
Hg: 0.6100 0.6100 0.2199  1 Hg 2.88, 4 Cd 2.93
Hg: 0.3900 0.3900 0.7801  1 Hg 2.88, 4 Cd 2.93

Properties
V (Å³/f.u.): 137.0
Total magnetization (Bohr magnetons per cell): 0.00


Of them, (a) has the highest stability.


(a)
The following is a PBE calculation of a geometry-optimized AcCd4Hg4 structure, from Alexandria via LeMat-Bulk.

Cell lengths 4.5036, 7.5729, 7.5729 Å; angles 84.93, 72.70, 72.70 degrees
Closest atoms and distances in Å follow each position.
Fractional positions:
Ac: 0.0000 0.0000 0.0000  8 Hg 3.40, 4 Cd 3.52
Cd: 0.0001 0.6556 0.3443  5 Cd 3.18, 6 Hg 3.32-3.36, 1 Ac 3.52
Cd: 0.9999 0.3444 0.6557  5 Cd 3.18, 6 Hg 3.32-3.36, 1 Ac 3.52
Cd: 0.6556 0.3443 0.3444  5 Cd 3.18, 6 Hg 3.32-3.36, 1 Ac 3.52
Cd: 0.3444 0.6557 0.6556  5 Cd 3.18, 6 Hg 3.32-3.36, 1 Ac 3.52
Hg: 0.3243 0.3515 0.9998  2 Hg 3.11, 6 Cd 3.32-3.36, 2 Ac 3.40
Hg: 0.6757 0.6485 0.0002  2 Hg 3.11, 6 Cd 3.32-3.36, 2 Ac 3.40
Hg: 0.6758 0.9998 0.6485  2 Hg 3.11, 6 Cd 3.32-3.36, 2 Ac 3.40
Hg: 0.3242 0.0002 0.3515  2 Hg 3.11, 6 Cd 3.32-3.36, 2 Ac 3.40

Properties
V (Å³/f.u.): 235.4
Total magnetization (Bohr magnetons per cell): 0.00


(b)
The following is a PBE calculation of a geometry-optimized AcCd4Hg4 structure, from Alexandria via LeMat-Bulk.

Cell lengths 6.7894, 6.7894, 10.2036 Å; angles 90.00, 90.00, 90.00 degrees
Closest atoms and distances in Å follow each position.
Fractional positions:
Ac: 0.0000 0.0000 0.0000  4 Hg 3.38, 8 Cd 3.77
Ac: 0.5000 0.5000 0.5000  4 Hg 3.38, 8 Cd 3.77
Cd: 0.2153 0.5000 0.9286  3 Cd 2.92-3.10, 5 Hg 2.96-3.06
Cd: 0.7847 0.5000 0.9286  3 Cd 2.92-3.10, 5 Hg 2.96-3.06
Cd: 0.5000 0.7847 0.0714  3 Cd 2.92-3.10, 5 Hg 2.96-3.06
Cd: 0.5000 0.2153 0.0714  3 Cd 2.92-3.10, 5 Hg 2.96-3.06
Cd: 0.0000 0.7153 0.4286  3 Cd 2.92-3.10, 5 Hg 2.96-3.06
Cd: 0.0000 0.2847 0.4286  3 Cd 2.92-3.10, 5 Hg 2.96-3.06
Cd: 0.2847 0.0000 0.5714  3 Cd 2.92-3.10, 5 Hg 2.96-3.06
Cd: 0.7153 0.0000 0.5714  3 Cd 2.92-3.10, 5 Hg 2.96-3.06
Hg: 0.5000 0.7622 0.7817  5 Cd 2.96-3.06, 1 Hg 3.23
Hg: 0.5000 0.2378 0.7817  5 Cd 2.96-3.06, 1 Hg 3.23
Hg: 0.7622 0.5000 0.2183  5 Cd 2.96-3.06, 1 Hg 3.23
Hg: 0.2378 0.5000 0.2183  5 Cd 2.96-3.06, 1 Hg 3.23
Hg: 0.2622 0.0000 0.2817  5 Cd 2.96-3.06, 1 Hg 3.23
Hg: 0.7378 0.0000 0.2817  5 Cd 2.96-3.06, 1 Hg 3.23
Hg: 0.0000 0.2622 0.7183  5 Cd 2.96-3.06, 1 Hg 3.23
Hg: 0.0000 0.7378 0.7183  5 Cd 2.96-3.06, 1 Hg 3.23

Properties
V (Å³/f.u.): 235.2
Total magnetization (Bohr magnetons per cell): 0.00


Of them, (a) has the highest stability.


(a)
The following is a PBE calculation of a geometry-optimized AcCd6Hg structure, from Alexandria via LeMat-Bulk.

Cell lengths 4.7598, 4.7598, 9.4479 Å; angles 90.00, 90.00, 90.00 degrees
Closest atoms and distances in Å follow each position.
Fractional positions:
Ac: 0.0000 0.0000 0.0000  16 Cd 3.64-3.85
Cd: 0.5000 0.0000 0.6793  2 Cd 2.90, 2 Hg 2.92
Cd: 0.0000 0.5000 0.6793  2 Cd 2.90, 2 Hg 2.92
Cd: 0.5000 0.5000 0.1454  5 Cd 2.75-2.90
Cd: 0.5000 0.5000 0.8546  5 Cd 2.75-2.90
Cd: 0.0000 0.5000 0.3207  2 Cd 2.90, 2 Hg 2.92
Cd: 0.5000 0.0000 0.3207  2 Cd 2.90, 2 Hg 2.92
Hg: 0.0000 0.0000 0.5000  8 Cd 2.92

Properties
V (Å³/f.u.): 214.0
Total magnetization (Bohr magnetons per cell): 0.00


(b)
The following is a PBE calculation of a geometry-optimized AcCd6Hg structure, from Alexandria via LeMat-Bulk.

Cell lengths 6.0641, 6.0641, 6.8058 Å; angles 90.00, 90.00, 120.00 degrees
Closest atoms and distances in Å follow each position.
Fractional positions:
Ac: 0.0000 0.0000 0.5000  2 Hg 3.40, 12 Cd 3.52
Cd: 0.5000 0.0000 0.7626  5 Cd 3.03-3.23
Cd: 0.0000 0.5000 0.7626  5 Cd 3.03-3.23
Cd: 0.5000 0.5000 0.2373  5 Cd 3.03-3.23
Cd: 0.5000 0.5000 0.7627  5 Cd 3.03-3.23
Cd: 0.0000 0.5000 0.2374  5 Cd 3.03-3.23
Cd: 0.5000 0.0000 0.2374  5 Cd 3.03-3.23
Hg: 0.0000 0.0000 0.0000  2 Ac 3.40, 12 Cd 3.44

Properties
V (Å³/f.u.): 216.7
Total magnetization (Bohr magnetons per cell): 0.00


Of them, (a) has the highest stability.


(a)
The following is a PBE calculation of a geometry-optimized AcCd2Hg3 structure, from Alexandria via LeMat-Bulk.

Cell lengths 6.7590, 6.7590, 9.2352 Å; angles 68.53, 68.53, 60.00 degrees
Closest atoms and distances in Å follow each position.
Fractional positions:
Ac: 0.7936 0.7936 0.6192  9 Hg 3.40-3.46, 3 Cd 3.74
Ac: 0.2064 0.2064 0.3808  9 Hg 3.40-3.46, 3 Cd 3.74
Cd: 0.0000 0.0000 0.0000  6 Hg 3.20, 6 Cd 3.38
Cd: 0.0000 0.5000 0.0000  4 Hg 3.11, 6 Cd 3.38
Cd: 0.5000 0.5000 0.0000  4 Hg 3.11, 6 Cd 3.38
Cd: 0.5000 0.0000 0.0000  4 Hg 3.11, 6 Cd 3.38
Hg: 0.2508 0.7275 0.2941  3 Cd 3.11-3.20, 2 Hg 3.22, 3 Ac 3.40-3.46
Hg: 0.7275 0.2508 0.2941  3 Cd 3.11-3.20, 2 Hg 3.22, 3 Ac 3.40-3.46
Hg: 0.7275 0.7275 0.2941  3 Cd 3.11-3.20, 2 Hg 3.22, 3 Ac 3.40-3.46
Hg: 0.2725 0.7492 0.7059  3 Cd 3.11-3.20, 2 Hg 3.22, 3 Ac 3.40-3.46
Hg: 0.7492 0.2725 0.7059  3 Cd 3.11-3.20, 2 Hg 3.22, 3 Ac 3.40-3.46
Hg: 0.2725 0.2725 0.7059  3 Cd 3.11-3.20, 2 Hg 3.22, 3 Ac 3.40-3.46

Properties
V (Å³/f.u.): 165.6
Total magnetization (Bohr magnetons per cell): 0.00


(b)
The following is a PBE calculation of a geometry-optimized AcCd2Hg3 structure, from Alexandria via LeMat-Bulk.

Cell lengths 5.0942, 5.0942, 14.2550 Å; angles 90.00, 90.00, 120.00 degrees
Closest atoms and distances in Å follow each position.
Fractional positions:
Ac: 0.0000 0.0000 0.2500  8 Hg 3.38-3.56, 6 Cd 3.70
Ac: 0.0000 0.0000 0.7500  8 Hg 3.38-3.56, 6 Cd 3.70
Cd: 0.6667 0.3333 0.4079  7 Hg 3.00-3.22
Cd: 0.3333 0.6667 0.5921  7 Hg 3.00-3.22
Cd: 0.3333 0.6667 0.9079  7 Hg 3.00-3.22
Cd: 0.6667 0.3333 0.0921  7 Hg 3.00-3.22
Hg: 0.0000 0.0000 0.5000  6 Cd 3.22, 6 Hg 3.50, 2 Ac 3.56
Hg: 0.0000 0.0000 0.0000  6 Cd 3.22, 6 Hg 3.50, 2 Ac 3.56
Hg: 0.6667 0.3333 0.6326  4 Cd 3.00-3.20, 1 Hg 3.35
Hg: 0.3333 0.6667 0.1326  4 Cd 3.00-3.20, 1 Hg 3.35
Hg: 0.6667 0.3333 0.8674  4 Cd 3.00-3.20, 1 Hg 3.35
Hg: 0.3333 0.6667 0.3674  4 Cd 3.00-3.20, 1 Hg 3.35

Properties
V (Å³/f.u.): 160.2
Total magnetization (Bohr magnetons per cell): 0.00


Of them, (b) has the highest stability.


(a)
The following is a PBE calculation of a geometry-optimized AcCdHg2 structure, from Alexandria via LeMat-Bulk.

Cell lengths 4.4109, 5.1510, 5.1510 Å; angles 90.00, 90.00, 90.00 degrees
Closest atoms and distances in Å follow each position.
Fractional positions:
Ac: 0.5000 0.5000 0.5000  8 Hg 3.39, 4 Cd 3.64
Hg: 0.0000 0.0000 0.5000  4 Cd 3.39, 4 Ac 3.39, 4 Hg 3.64
Hg: 0.0000 0.5000 0.0000  4 Ac 3.39, 4 Cd 3.39, 4 Hg 3.64
Cd: 0.5000 0.0000 0.0000  8 Hg 3.39, 4 Ac 3.64

Properties
V (Å³/f.u.): 117.0
Total magnetization (Bohr magnetons per cell): 0.00


(b)
The following is a PBE calculation of a geometry-optimized AcCdHg2 structure, from Alexandria via LeMat-Bulk.

Cell lengths 4.5192, 4.5192, 7.7201 Å; angles 72.98, 72.98, 60.00 degrees
Closest atoms and distances in Å follow each position.
Fractional positions:
Ac: 0.6689 0.6689 0.9933  6 Hg 3.32-3.35
Cd: 0.4955 0.4955 0.5136  6 Hg 2.98-3.10
Hg: 0.0963 0.0963 0.7112  3 Cd 2.98, 1 Hg 3.12, 3 Ac 3.32
Hg: 0.2393 0.2393 0.2820  3 Cd 3.10, 1 Hg 3.12, 3 Ac 3.35

Properties
V (Å³/f.u.): 128.5
Total magnetization (Bohr magnetons per cell): 0.00


Of them, (a) has the highest stability.


(a)
The following is a PBE calculation of a geometry-optimized Ac2CdHg3 structure, from Alexandria via LeMat-Bulk.

Cell lengths 6.4208, 6.4208, 9.7325 Å; angles 103.71, 103.71, 106.34 degrees
Closest atoms and distances in Å follow each position.
Fractional positions:
Ac: 0.2500 0.7500 0.5000  8 Hg 3.53-3.54, 4 Cd 3.54, 2 Ac 3.85
Ac: 0.7547 0.7547 0.0000  10 Hg 3.54-3.55, 2 Cd 3.56, 2 Ac 3.78-3.92
Ac: 0.7500 0.2500 0.5000  8 Hg 3.53-3.54, 4 Cd 3.54, 2 Ac 3.85
Ac: 0.2453 0.2453 0.0000  10 Hg 3.54-3.55, 2 Cd 3.56, 2 Ac 3.78-3.92
Cd: 0.6665 0.6665 0.3331  3 Hg 2.93-2.95
Cd: 0.3335 0.3335 0.6669  3 Hg 2.93-2.95
Hg: 0.3372 0.8306 0.1678  1 Cd 2.93, 2 Hg 3.00-3.01
Hg: 0.1694 0.6628 0.8322  1 Cd 2.93, 2 Hg 3.00-3.01
Hg: 0.6628 0.1694 0.8322  1 Cd 2.93, 2 Hg 3.00-3.01
Hg: 0.8306 0.3372 0.1678  1 Cd 2.93, 2 Hg 3.00-3.01
Hg: 0.1683 0.1683 0.3365  1 Cd 2.95, 2 Hg 3.01
Hg: 0.8317 0.8317 0.6635  1 Cd 2.95, 2 Hg 3.01

Properties
V (Å³/f.u.): 176.8
Total magnetization (Bohr magnetons per cell): 0.00


(b)
The following is a PBE calculation of a geometry-optimized Ac2CdHg3 structure, from Alexandria via LeMat-Bulk.

Cell lengths 4.1703, 4.9313, 9.6631 Å; angles 104.78, 102.46, 90.00 degrees
Closest atoms and distances in Å follow each position.
Fractional positions:
Ac: 0.1232 0.1232 0.2464  8 Hg 3.50-3.60, 2 Cd 3.60
Ac: 0.8767 0.3767 0.7534  6 Hg 3.49-3.58, 4 Cd 3.58
Cd: 0.4620 0.9620 0.9241  3 Hg 2.81-2.88
Hg: 0.6974 0.6974 0.3948  3 Hg 2.85-2.93
Hg: 0.5365 0.5365 0.0729  2 Cd 2.81, 1 Hg 2.93
Hg: 0.3042 0.8042 0.6084  2 Hg 2.85, 1 Cd 2.88

Properties
V (Å³/f.u.): 187.3
Total magnetization (Bohr magnetons per cell): 0.00


Of them, (a) has the highest stability.